1.
Crystalline KCuPd2 at its relaxed geometry. Source: Alexandria via LeMat-Bulk, functional PBE.

The value obtained for the formation energy is 358 meV/atom.

Cell lengths 5.0026, 5.0026, 17.0404 Å; angles 90.00, 90.00, 90.00 degrees
Last column: nearest neighbours and their distance in Å.
Space group I-42d (No. 122)
Unique sites:
K 0.0000 0.0000 0.0000 x4  4 Pd 3.29, 4 Cu 3.54
Cu 0.0000 0.0000 0.5000 x4  4 Pd 2.49
Pd 0.0659 0.2500 0.6250 x8  2 Cu 2.49, 2 Pd 2.59

---

2.
Crystalline K2Cu2Pd at its relaxed geometry. Source: Alexandria via LeMat-Bulk, functional PBE.

The value obtained for the formation energy is 254 meV/atom.

Cell lengths 6.6735, 6.6735, 5.2445 Å; angles 90.00, 90.00, 90.00 degrees
Last column: nearest neighbours and their distance in Å.
Space group P4/mbm (No. 127)
Unique sites:
K 0.1843 0.3157 0.0000 x4  6 Cu 3.15-3.38, 5 K 3.45-3.48
Cu 0.1316 0.6316 0.5000 x4  1 Cu 2.48, 2 Pd 2.61
Pd 0.0000 0.0000 0.5000 x2  4 Cu 2.61

---

3.
Crystalline K2CuPd at its relaxed geometry. Source: Alexandria via LeMat-Bulk, functional PBE.

The value obtained for the formation energy is 452 meV/atom.

Cell lengths 7.7779, 7.7779, 7.7779 Å; angles 90.00, 90.00, 90.00 degrees
Last column: nearest neighbours and their distance in Å.
Space group Fm-3m (No. 225)
Unique sites:
K 0.2500 0.2500 0.2500 x8  4 Cu 3.37, 4 Pd 3.37
Cu 0.0000 0.0000 0.0000 x4  8 K 3.37
Pd 0.0000 0.0000 0.5000 x4  8 K 3.37

---

4.
Crystalline K3CuPd at its relaxed geometry. Source: Alexandria via LeMat-Bulk, functional PBE.

The value obtained for the formation energy is 335 meV/atom.

Cell lengths 6.1577, 6.1577, 6.1577 Å; angles 90.00, 90.00, 90.00 degrees
Last column: nearest neighbours and their distance in Å.
Space group Pm-3m (No. 221)
Unique sites:
K 0.0000 0.0000 0.5000 x3  2 Pd 3.08
Cu 0.5000 0.5000 0.5000 x1  12 K 4.35
Pd 0.0000 0.0000 0.0000 x1  6 K 3.08

---

5.
Crystalline KCuPdS2 at its relaxed geometry. Source: Alexandria via LeMat-Bulk, functional PBE.

For the uncorrected formation energy, the calculation gives -0.56 eV/atom.

Cell lengths 3.8249, 3.8827, 6.8193 Å; angles 90.00, 90.00, 90.00 degrees
Last column: nearest neighbours and their distance in Å.
Space group Pmmm (No. 47)
Unique sites:
K 0.0000 0.0000 0.0000 x1  8 S 3.32
Cu 0.5000 0.0000 0.5000 x1  4 S 2.46, 4 Pd 2.73
Pd 0.0000 0.5000 0.5000 x1  4 S 2.43, 4 Cu 2.73
S 0.5000 0.5000 0.2793 x2  2 Pd 2.43, 2 Cu 2.46

---

6.
Crystalline KCuPdSe at its relaxed geometry. Source: Alexandria via LeMat-Bulk, functional PBE.

For the uncorrected formation energy, the calculation gives -0.26 eV/atom.

Cell lengths 3.8265, 3.8265, 12.7258 Å; angles 90.00, 90.00, 90.00 degrees
Last column: nearest neighbours and their distance in Å.
Space group P4/nmm (No. 129, origin choice 2)
Unique sites:
K 0.2500 0.2500 0.2224 x2  4 Se 3.35, 4 Pd 3.42
Cu 0.2500 0.7500 0.5000 x2  4 Se 2.47, 4 Cu 2.71
Pd 0.2500 0.7500 0.0000 x2  4 Pd 2.71
Se 0.2500 0.2500 0.6222 x2  4 Cu 2.47